1.
# ScBi2H | Alexandria | PBE | optimized geometry
data_ScBi2H
_cell_length_a 6.988
_cell_length_b 6.988
_cell_length_c 7.217
_cell_angle_alpha 90.00
_cell_angle_beta 90.00
_cell_angle_gamma 90.00
_symmetry_space_group_name_H-M 'I -4 2 d'
_symmetry_Int_Tables_number 122
_symmetry_space_group_name_Hall 'I -4 2bw'
loop_
_atom_site_label
_atom_site_fract_x
_atom_site_fract_y
_atom_site_fract_z
Sc1 0.000 0.000 0.000
Bi1 0.161 0.750 0.625
H1 0.000 0.000 0.500
# Total magnetic moment: 0.00 Bohr magnetons per cell
# Volume: 352.4 Å³/cell
# Calculated total energy: -69.19 eV for the cell shown
# ρ: 8.74 Mg/m³

=====

2.
# Ac2SiF | Alexandria | PBE | optimized geometry
data_Ac2SiF
_cell_length_a 3.729
_cell_length_b 3.729
_cell_length_c 7.430
_cell_angle_alpha 90.00
_cell_angle_beta 90.00
_cell_angle_gamma 90.00
_symmetry_space_group_name_H-M 'P 4/m m m'
_symmetry_Int_Tables_number 123
_symmetry_space_group_name_Hall '-P 4 2'
loop_
_atom_site_label
_atom_site_fract_x
_atom_site_fract_y
_atom_site_fract_z
Ac1 0.000 0.000 0.242
Si1 0.500 0.500 0.000
F1 0.500 0.500 0.500
# Total magnetic moment: 0.21 Bohr magnetons per cell
# Volume: 103.3 Å³/cell
# Calculated total energy: -20.27 eV for the cell shown
# ρ: 8.05 Mg/m³

=====

3.
# KZn2WCl | Alexandria | PBE | optimized geometry
data_KZn2WCl
_cell_length_a 6.198
_cell_length_b 6.198
_cell_length_c 6.452
_cell_angle_alpha 90.00
_cell_angle_beta 90.00
_cell_angle_gamma 90.00
_symmetry_space_group_name_H-M 'P 4/m m m'
_symmetry_Int_Tables_number 123
_symmetry_space_group_name_Hall '-P 4 2'
loop_
_atom_site_label
_atom_site_fract_x
_atom_site_fract_y
_atom_site_fract_z
K1 0.000 0.000 0.000
Zn1 0.000 0.500 0.000
W1 0.000 0.000 0.500
Cl1 0.500 0.500 0.500
# Total magnetic moment: 5.82 Bohr magnetons per cell
# Volume: 247.8 Å³/cell
# Calculated total energy: -9.71 eV for the cell shown
# ρ: 2.61 Mg/m³

=====

4.
# KRePt | Alexandria | PBE | optimized geometry
data_KRePt
_cell_length_a 6.349
_cell_length_b 6.349
_cell_length_c 6.349
_cell_angle_alpha 90.00
_cell_angle_beta 90.00
_cell_angle_gamma 90.00
_symmetry_space_group_name_H-M 'F -4 3 m'
_symmetry_Int_Tables_number 216
_symmetry_space_group_name_Hall 'F -4 2 3'
loop_
_atom_site_label
_atom_site_fract_x
_atom_site_fract_y
_atom_site_fract_z
K1 0.000 0.000 0.000
Re1 0.250 0.250 0.250
Pt1 0.000 0.000 0.500
# Total magnetic moment: 0.00 Bohr magnetons per cell
# Volume: 255.9 Å³/cell
# Calculated total energy: -58.74 eV for the cell shown
# Formation energy from the elements: 1.6341 eV per atom
# ρ: 10.91 Mg/m³

=====

5.
# KNa2InHg | Alexandria | PBE | optimized geometry
data_KNa2InHg
_cell_length_a 6.008
_cell_length_b 6.008
_cell_length_c 5.698
_cell_angle_alpha 90.00
_cell_angle_beta 90.00
_cell_angle_gamma 90.00
_symmetry_space_group_name_H-M 'P 4/m m m'
_symmetry_Int_Tables_number 123
_symmetry_space_group_name_Hall '-P 4 2'
loop_
_atom_site_label
_atom_site_fract_x
_atom_site_fract_y
_atom_site_fract_z
K1 0.000 0.000 0.000
Na1 0.000 0.500 0.500
In1 0.500 0.500 0.500
Hg1 0.500 0.500 0.000
# Total magnetic moment: 0.00 Bohr magnetons per cell
# Volume: 205.6 Å³/cell
# Calculated total energy: -6.94 eV for the cell shown
# Formation energy from the elements: -0.0334 eV per atom
# ρ: 3.23 Mg/m³

=====

6.
# CdNiTe2I | Alexandria | PBE | optimized geometry
data_CdNiTe2I
_cell_length_a 5.594
_cell_length_b 5.594
_cell_length_c 5.912
_cell_angle_alpha 90.00
_cell_angle_beta 90.00
_cell_angle_gamma 90.00
_symmetry_space_group_name_H-M 'P 4/m m m'
_symmetry_Int_Tables_number 123
_symmetry_space_group_name_Hall '-P 4 2'
loop_
_atom_site_label
_atom_site_fract_x
_atom_site_fract_y
_atom_site_fract_z
Cd1 0.000 0.000 0.000
Ni1 0.500 0.500 0.500
Te1 0.000 0.500 0.000
I1 0.000 0.000 0.500
# Total magnetic moment: 1.99 Bohr magnetons per cell
# Volume: 185.0 Å³/cell
# Calculated total energy: -9.75 eV for the cell shown
# ρ: 4.97 Mg/m³